This record from Alexandria describes an optimized crystal structure of NaUPdSe2. The functional is PBE-GGA.

DOS at the Fermi energy = 1.13 states/eV/atom
uncorrected energy = -28.8 eV/f.u.
space group = P2/c (13)
crystal system = monoclinic
formation energy without anion corrections = -798 meV/atom

a = 4.7480 Å, b = 7.5488 Å, c = 7.3365 Å
α = 99.58°, β = 90.00°, γ = 90.00°
Last column: nearest neighbours and their distance in Å.
Atoms (fractional coordinates):
Na 0.1762 0.5000 0.7500  6 Se 3.00-3.25
Na 0.8238 0.5000 0.2500  6 Se 3.00-3.25
U 0.4931 0.0000 0.2500  4 Se 2.92-2.93, 4 Pd 2.97-3.03
U 0.5069 0.0000 0.7500  4 Se 2.92-2.93, 4 Pd 2.97-3.03
Pd 0.0000 0.0000 0.0000  2 Se 2.49
Pd 0.0000 0.0000 0.5000  2 Se 2.49
Se 0.7040 0.7237 0.9563  1 Pd 2.49
Se 0.7040 0.2763 0.5437  1 Pd 2.49
Se 0.2960 0.7237 0.4563  1 Pd 2.49
Se 0.2960 0.2763 0.0437  1 Pd 2.49


This record from Alexandria describes an optimized crystal structure of InBi2SbPd4. The functional is PBE-GGA.

DOS at the Fermi energy = 0.56 states/eV/atom
uncorrected energy = -37.0 eV/f.u.
space group = Imma (74)
crystal system = orthorhombic
formation energy without anion corrections = -199 meV/atom

a = 7.9717 Å, b = 7.9717 Å, c = 8.3782 Å
α = 121.71°, β = 121.71°, γ = 89.69°
Last column: nearest neighbours and their distance in Å.
Atoms (fractional coordinates):
In 0.0000 0.5000 0.0000  6 Pd 2.73
In 0.0000 0.5000 0.5000  6 Pd 2.73
Bi 0.5000 0.0000 0.0000  6 Pd 2.90-2.93
Bi 0.5000 0.0000 0.5000  6 Pd 2.90-2.93
Bi 0.0000 0.0000 0.5000  6 Pd 2.94-2.95
Bi 0.5000 0.5000 0.0000  6 Pd 2.94-2.95
Sb 0.5000 0.5000 0.5000  6 Pd 2.68-2.71
Sb 0.0000 0.0000 0.0000  6 Pd 2.68-2.71
Pd 0.2182 0.7414 0.9798  1 Sb 2.69, 2 In 2.73, 3 Bi 2.93-2.94
Pd 0.7586 0.2818 0.5202  1 Sb 2.69, 2 In 2.73, 3 Bi 2.93-2.94
Pd 0.2414 0.7182 0.4798  1 Sb 2.68, 2 In 2.73, 3 Bi 2.93-2.95
Pd 0.7818 0.2586 0.0202  1 Sb 2.68, 2 In 2.73, 3 Bi 2.93-2.95
Pd 0.7579 0.7420 0.9802  2 Sb 2.71, 1 In 2.73, 3 Bi 2.90-2.95
Pd 0.7580 0.7421 0.5198  2 Sb 2.71, 1 In 2.73, 3 Bi 2.90-2.95
Pd 0.2420 0.2579 0.4802  2 Sb 2.71, 1 In 2.73, 3 Bi 2.90-2.95
Pd 0.2421 0.2580 0.0198  2 Sb 2.71, 1 In 2.73, 3 Bi 2.90-2.95


This record from Alexandria describes an optimized crystal structure of AcPm2Bi3. The functional is PBE-GGA.

DOS at the Fermi energy = 0.18 states/eV/atom
uncorrected energy = -30.9 eV/f.u.
energy of formation = -940.4 meV per atom
space group = Immm (71)
crystal system = orthorhombic

a = 4.6802 Å, b = 6.6403 Å, c = 8.1113 Å
α = 114.16°, β = 106.77°, γ = 90.00°
Last column: nearest neighbours and their distance in Å.
Atoms (fractional coordinates):
Ac 0.0000 0.5000 0.0000  6 Bi 3.32-3.40
Pm 0.6648 0.1648 0.3295  6 Bi 3.24-3.32
Pm 0.3352 0.8352 0.6705  6 Bi 3.24-3.32
Bi 0.3246 0.3246 0.6492  4 Pm 3.24-3.32, 2 Ac 3.40
Bi 0.0000 0.0000 0.0000  4 Pm 3.29, 2 Ac 3.32
Bi 0.6754 0.6754 0.3508  4 Pm 3.24-3.32, 2 Ac 3.40